Entry from Alexandria via LeMat-Bulk: a relaxed ZrTi2CuH crystal (PBE).

final energy = -32.390 eV/f.u.
E above lowest polymorph = 0.00 eV/f.u.
symmetry = P4/mmm (123)
magnetic moment = 0.000 μB per atom

Unit cell a=4.0641 b=4.0641 c=4.2954 alpha=90.00 beta=90.00 gamma=90.00
Sites, in units of the cell vectors:
Zr: 0.0000 0.0000 0.0000
Ti: 0.0000 0.5000 0.5000
Ti: 0.5000 0.0000 0.5000
Cu: 0.5000 0.5000 0.0000
H: 0.0000 0.0000 0.5000